TmCd2MoO6 | PBE with a Hubbard U | optimized geometry

Total DFT energy (no corrections) ... -6.221 eV/atom
Total magnetic moment ... 1.00 μB per formula unit

Structure (CIF):
```
data_TmCd2MoO6
_chemical_formula_sum 'Tm2 Cd4 Mo2 O12'
_cell_length_a 5.614
_cell_length_b 5.679
_cell_length_c 9.884
_cell_angle_alpha 90.00
_cell_angle_beta 124.44
_cell_angle_gamma 90.00
_symmetry_space_group_name_H-M 'P 1 21/c 1'
_symmetry_Int_Tables_number 14
_symmetry_space_group_name_Hall '-P 2ybc'
loop_
_atom_site_label
_atom_site_type_symbol
_atom_site_fract_x
_atom_site_fract_y
_atom_site_fract_z
Tm1 Tm 0.000 0.000 0.000
Cd1 Cd 0.246 0.040 0.747
Mo1 Mo 0.500 0.000 0.500
O1 O 0.140 0.176 0.444
O2 O 0.280 0.707 0.443
O3 O 0.367 0.058 0.261
```